[1]
The following is a PBE-GGA calculation of a geometry-optimized Ca3Pa2TcN6 structure, from the Alexandria database.

abc: 5.898 5.898 5.991
angles: 99.31 99.31 120.04
Sites, in units of the cell vectors:
Ca 0.000 0.000 0.000
Ca 0.341 0.659 0.000
Ca 0.659 0.341 0.000
Pa 0.167 0.833 0.500
Pa 0.833 0.167 0.500
Tc 0.500 0.500 0.500
N 0.094 0.428 0.281
N 0.237 0.237 0.721
N 0.428 0.094 0.281
N 0.572 0.906 0.719
N 0.763 0.763 0.279
N 0.906 0.572 0.719

**DOS at the Fermi energy**: 0.389 states/eV/atom
**Energy**: -8.30 eV/atom
**Symmetry**: C2/m, No. 12
**Formation energy (no corrections)**: -1.192 eV per atom

[2]
The following is a PBE-GGA calculation of a geometry-optimized SmBe2GaPd2 structure, from the Alexandria database.

abc: 4.186 4.186 5.676
angles: 90.00 90.00 90.00
Sites, in units of the cell vectors:
Sm 0.000 0.000 0.000
Be 0.000 0.500 0.500
Be 0.500 0.000 0.500
Ga 0.000 0.000 0.500
Pd 0.500 0.500 0.253
Pd 0.500 0.500 0.747

**DOS at the Fermi energy**: 0.501 states/eV/atom
**Calculated formation energy**: -0.2025 eV per atom
**Energy**: -4.47 eV/atom
**Symmetry**: P4/mmm, No. 123